No. 1
This record from Alexandria via LeMat-Bulk describes an optimized crystal structure of MoW3. The functional is PBE-GGA.

Cell and atoms, written as POSCAR:
```
MoW3
1.0
0.199 2.270 -3.877
-0.036 -3.879 -2.273
-6.441 0.991 2.857
W Mo
6 2
Direct
0.250 0.750 0.500 W
0.875 0.875 0.750 W
0.125 0.125 0.250 W
0.500 0.000 0.000 W
0.750 0.250 0.500 W
0.000 0.500 0.000 W
0.625 0.625 0.250 Mo
0.375 0.375 0.750 Mo
```

E above lowest polymorph: 5 meV per atom
calculated formation energy: -0.012 eV/atom
DFT total energy: -12.435 eV/atom
density: 16707 kg/m3

No. 2
This record from Alexandria via LeMat-Bulk describes an optimized crystal structure of MoW3. The functional is PBE-GGA.

Cell and atoms, written as POSCAR:
```
MoW3
1.0
4.030 0.000 0.000
0.000 4.030 0.000
0.000 0.000 4.030
W Mo
3 1
Direct
0.000 0.500 0.500 W
0.500 0.500 0.000 W
0.500 0.000 0.500 W
0.000 0.000 0.000 Mo
```

E above lowest polymorph: 468 meV per atom
calculated formation energy: 0.451 eV/atom
DFT total energy: -11.972 eV/atom
density: 16421 kg/m3

No. 3
This record from Alexandria via LeMat-Bulk describes an optimized crystal structure of MoW3. The functional is PBE-GGA.

Cell and atoms, written as POSCAR:
```
MoW3
1.0
2.749 0.000 -0.002
0.000 4.495 0.000
0.913 0.000 5.203
W Mo
3 1
Direct
0.248 0.500 0.250 W
0.500 0.000 0.500 W
0.752 0.500 0.750 W
0.000 0.000 0.000 Mo
```

E above lowest polymorph: 4 meV per atom
calculated formation energy: -0.012 eV/atom
DFT total energy: -12.435 eV/atom
density: 16722 kg/m3

No. 4
This record from Alexandria via LeMat-Bulk describes an optimized crystal structure of MoW3. The functional is PBE-GGA.

Cell and atoms, written as POSCAR:
```
MoW3
1.0
5.663 -4.038 6.454
2.066 -7.775 5.031
-2.224 5.074 -7.703
W Mo
6 2
Direct
0.250 0.750 0.500 W
0.500 0.000 0.500 W
0.125 0.125 0.000 W
0.750 0.250 0.500 W
0.000 0.500 0.500 W
0.875 0.875 0.000 W
0.625 0.625 0.000 Mo
0.375 0.375 0.000 Mo
```

E above lowest polymorph: 384 meV per atom
calculated formation energy: 0.367 eV/atom
DFT total energy: -12.056 eV/atom
density: 16339 kg/m3

No. 5
This record from Alexandria via LeMat-Bulk describes an optimized crystal structure of MoW. The functional is PBE-GGA.

Cell and atoms, written as POSCAR:
```
MoW
1.0
-0.232 -2.287 2.190
3.165 -0.096 0.235
-0.206 4.405 4.577
W Mo
2 2
Direct
0.500 0.500 0.751 W
0.000 0.000 0.499 W
0.500 0.500 0.249 Mo
0.000 0.000 0.001 Mo
```

E above lowest polymorph: 8 meV per atom
calculated formation energy: -0.011 eV/atom
DFT total energy: -11.903 eV/atom
density: 14501 kg/m3

No. 6
This record from Alexandria via LeMat-Bulk describes an optimized crystal structure of Mo11W5. The functional is PBE-GGA.

Cell and atoms, written as POSCAR:
```
Mo11W5
1.0
6.346 0.000 0.000
0.000 6.345 0.000
0.001 0.000 6.345
W Mo
5 11
Direct
0.750 0.750 0.250 W
0.750 0.250 0.250 W
0.499 0.000 0.000 W
0.001 0.500 0.501 W
0.499 0.000 0.501 W
0.250 0.250 0.750 Mo
0.000 0.000 0.500 Mo
0.000 0.500 0.000 Mo
0.250 0.250 0.250 Mo
0.499 0.500 0.999 Mo
0.000 0.000 0.999 Mo
0.250 0.750 0.750 Mo
0.750 0.750 0.750 Mo
0.250 0.750 0.250 Mo
0.750 0.250 0.750 Mo
0.500 0.500 0.500 Mo
```

calculated formation energy: -0.010 eV/atom
DFT total energy: -11.504 eV/atom
density: 12832 kg/m3